1.
Nd2GdMg3Al2Cd: optimized geometry, PBE.

As for the volume: 229.2 Å³/cell. The calculation puts the calculated total energy at -3.34 eV per atom.

Cell lengths 4.640, 7.533, 7.533 Å; angles 119.50, 90.00, 90.00 degrees
Element x y z (fractional)
Nd 0.000 0.213 0.787
Nd 0.000 0.787 0.213
Gd 0.000 0.359 0.359
Mg 0.500 0.031 0.031
Mg 0.500 0.540 0.785
Mg 0.500 0.785 0.540
Al 0.500 0.123 0.452
Al 0.500 0.452 0.123
Cd 0.000 0.780 0.780



2.
Pr2GdMg3Al2Cd: optimized geometry, PBE.

As for the volume: 231.6 Å³/cell. The calculation puts the calculated total energy at -3.34 eV per atom.

Cell lengths 4.661, 7.553, 7.553 Å; angles 119.40, 90.00, 90.00 degrees
Element x y z (fractional)
Pr 0.000 0.213 0.787
Pr 0.000 0.787 0.213
Gd 0.000 0.360 0.360
Mg 0.500 0.030 0.030
Mg 0.500 0.540 0.785
Mg 0.500 0.785 0.540
Al 0.500 0.124 0.451
Al 0.500 0.451 0.124
Cd 0.000 0.779 0.779



3.
Gd2TmMg3Al2Cd: optimized geometry, PBE.

As for the volume: 217.0 Å³/cell. The calculation puts the calculated total energy at -3.29 eV per atom.

Cell lengths 4.545, 7.406, 7.406 Å; angles 119.47, 90.00, 90.00 degrees
Element x y z (fractional)
Gd 0.000 0.215 0.785
Gd 0.000 0.785 0.215
Tm 0.000 0.355 0.355
Mg 0.500 0.030 0.030
Mg 0.500 0.538 0.783
Mg 0.500 0.783 0.538
Al 0.500 0.121 0.450
Al 0.500 0.450 0.121
Cd 0.000 0.780 0.780



4.
GdY2Mg3Al2Cd: optimized geometry, PBE.

As for the volume: 217.8 Å³/cell. The calculation puts the calculated total energy at -3.73 eV per atom.

Cell lengths 4.553, 7.434, 7.434 Å; angles 120.06, 90.00, 90.00 degrees
Element x y z (fractional)
Gd 0.000 0.000 0.000
Y 0.000 0.143 0.572
Y 0.000 0.572 0.143
Mg 0.500 0.326 0.326
Mg 0.500 0.572 0.818
Mg 0.500 0.818 0.572
Al 0.500 0.238 0.905
Al 0.500 0.905 0.238
Cd 0.000 0.571 0.571



5.
Gd2YMg3Al2Cd: optimized geometry, PBE.

As for the volume: 218.9 Å³/cell. The calculation puts the calculated total energy at -3.53 eV per atom.

Cell lengths 4.562, 7.441, 7.441 Å; angles 119.93, 90.00, 90.00 degrees
Element x y z (fractional)
Gd 0.000 0.214 0.786
Gd 0.000 0.786 0.214
Y 0.000 0.358 0.358
Mg 0.500 0.032 0.032
Mg 0.500 0.540 0.786
Mg 0.500 0.786 0.540
Al 0.500 0.119 0.452
Al 0.500 0.452 0.119
Cd 0.000 0.786 0.786



6.
Gd3Mg3AlZnCd: optimized geometry, PBE.

As for the volume: 217.3 Å³/cell. The calculation puts the calculated total energy at -3.01 eV per atom.

Cell lengths 7.383, 7.383, 4.604 Å; angles 90.00, 90.00, 120.00 degrees
Element x y z (fractional)
Gd 0.000 0.427 0.000
Gd 0.427 0.000 0.000
Gd 0.573 0.573 0.000
Mg 0.004 0.756 0.500
Mg 0.244 0.248 0.500
Mg 0.752 0.996 0.500
Al 0.667 0.333 0.500
Zn 0.333 0.667 0.500
Cd 0.000 0.000 0.000



7.
Gd3AlCdS7: optimized geometry, PBE.

As for the volume: 517.3 Å³/cell. The calculation puts the calculated total energy at -5.55 eV per atom.

Cell lengths 9.779, 9.779, 6.247 Å; angles 90.00, 90.00, 120.00 degrees
Element x y z (fractional)
Gd 0.153 0.381 0.000
Gd 0.228 0.847 0.000
Gd 0.381 0.228 0.500
Gd 0.619 0.772 0.000
Gd 0.772 0.153 0.500
Gd 0.847 0.619 0.500
Al 0.333 0.667 0.423
Al 0.667 0.333 0.923
Cd 0.000 0.000 0.309
Cd 0.000 0.000 0.809
S 0.094 0.573 0.266
S 0.111 0.259 0.578
S 0.148 0.889 0.578
S 0.259 0.148 0.078
S 0.333 0.667 0.785
S 0.427 0.522 0.266
S 0.478 0.906 0.266
S 0.522 0.094 0.766
S 0.573 0.478 0.766
S 0.667 0.333 0.285
S 0.741 0.852 0.578
S 0.852 0.111 0.078
S 0.889 0.741 0.078
S 0.906 0.427 0.766



8.
GdY2Al2Cd4: optimized geometry, PBE.

As for the volume: 212.1 Å³/cell. The calculation puts the calculated total energy at -3.59 eV per atom.

Cell lengths 4.545, 7.345, 7.345 Å; angles 120.12, 90.00, 90.00 degrees
Element x y z (fractional)
Gd 0.000 0.000 0.000
Y 0.000 0.143 0.572
Y 0.000 0.572 0.143
Al 0.500 0.239 0.905
Al 0.500 0.905 0.239
Cd 0.000 0.570 0.570
Cd 0.500 0.319 0.319
Cd 0.500 0.571 0.824
Cd 0.500 0.824 0.571



- calculated total energy of number 4 (GdY2Mg3Al2Cd)?
  -3.73 eV per atom